{"formula": "CoWIO2", "functional": "PBE+U", "state": "optimized geometry", "lattice": [[4.009, 0.000, 0.000], [0.000, 4.009, 0.000], [0.000, 0.000, 4.861]], "species": ["W", "I", "O", "O", "Co"], "fractional_positions": [[0.500, 0.500, 0.500], [0.000, 0.000, 0.500], [0.000, 0.500, 0.000], [0.500, 0.000, 0.000], [0.000, 0.000, 0.000]], "total_magnetization_mub_per_atom": 0.71, "dft_energy_ev_per_cell": -20.79, "relative_energy_ev_per_atom": 0.920}